First-principles (PBE) data for Ac4Nd3ErSe8 after structural relaxation, as listed in Alexandria.

Values from the calculation:
For the total energy, the calculation gives -5.7706 eV per atom.

Lattice parameters (Å, degrees): 8.6918 8.6918 8.6918 59.37 59.37 59.37
Fractional coordinates of all 16 atoms:
Ac  0.0000  0.0000  0.0000
Ac  0.0000  0.5000  0.5000
Ac  0.5000  0.0000  0.5000
Ac  0.5000  0.5000  0.0000
Nd  0.0000  0.0000  0.5000
Nd  0.0000  0.5000  0.0000
Nd  0.5000  0.0000  0.0000
Er  0.5000  0.5000  0.5000
Se  0.2450  0.2450  0.2450
Se  0.2522  0.7380  0.7380
Se  0.2620  0.2620  0.7478
Se  0.2620  0.7478  0.2620
Se  0.7380  0.2522  0.7380
Se  0.7380  0.7380  0.2522
Se  0.7478  0.2620  0.2620
Se  0.7550  0.7550  0.7550

***

First-principles (PBE) data for Ac2NdErSe4 after structural relaxation, as listed in Alexandria.

Values from the calculation:
For the total energy, the calculation gives -5.7404 eV per atom.

Lattice parameters (Å, degrees): 7.3261 4.1925 7.7111 90.00 108.20 90.00
Fractional coordinates of all 8 atoms:
Ac  0.0000  0.0000  0.0000
Ac  0.5000  0.5000  0.0000
Nd  0.0000  0.5000  0.5000
Er  0.5000  0.0000  0.5000
Se  0.2512  0.0000  0.7273
Se  0.2684  0.5000  0.2786
Se  0.7316  0.5000  0.7214
Se  0.7488  0.0000  0.2727

***

First-principles (PBE) data for Ac3NdEr2Se6 after structural relaxation, as listed in Alexandria.

Values from the calculation:
For the total energy, the calculation gives -5.7257 eV per atom.

Lattice parameters (Å, degrees): 7.2804 7.2804 7.6739 99.12 99.12 120.15
Fractional coordinates of all 12 atoms:
Ac  0.0000  0.0000  0.0000
Ac  0.3380  0.6620  0.0000
Ac  0.6620  0.3380  0.0000
Nd  0.5000  0.5000  0.5000
Er  0.1668  0.8332  0.5000
Er  0.8332  0.1668  0.5000
Se  0.0812  0.4258  0.2770
Se  0.2282  0.2282  0.7186
Se  0.4258  0.0812  0.2770
Se  0.5742  0.9188  0.7230
Se  0.7718  0.7718  0.2814
Se  0.9188  0.5742  0.7230

***

First-principles (PBE) data for Ac2NdErSe5 after structural relaxation, as listed in Alexandria.

Values from the calculation:
For the total energy, the calculation gives -5.7006 eV per atom.

Lattice parameters (Å, degrees): 9.2006 9.2006 14.2451 90.00 90.00 153.45
Fractional coordinates of all 18 atoms:
Ac  0.0869  0.9131  0.5000
Ac  0.1380  0.8620  0.1602
Ac  0.8620  0.1380  0.6602
Ac  0.9131  0.0869  0.0000
Nd  0.4518  0.5482  0.3066
Nd  0.5482  0.4518  0.8066
Er  0.2261  0.7739  0.8872
Er  0.7739  0.2261  0.3872
Se  0.0772  0.9228  0.9399
Se  0.2600  0.7400  0.5310
Se  0.2963  0.7037  0.2531
Se  0.3797  0.6203  0.8387
Se  0.4946  0.5054  0.6186
Se  0.5054  0.4946  0.1186
Se  0.6203  0.3797  0.3387
Se  0.7037  0.2963  0.7531
Se  0.7400  0.2600  0.0310
Se  0.9228  0.0772  0.4399